LiOs3Br | meta-GGA SCAN | PBEsol geometry

Structure (extended XYZ):
```
5
Lattice="-1.023 -4.281 -1.009 3.156 0.007 -3.230 3.063 -1.437 2.990" Properties=species:S:1:pos:R:3 pbc="T T T"
Br 0.000 0.000 0.000
Os 1.532 -0.719 1.495
Os 1.578 0.003 -1.615
Li 2.598 -2.856 -0.624
Os -0.512 -2.140 -0.505
```

## Properties
Its total energy is -225.48 eV for the cell shown. The formation energy from raw total energies is 2.4020 eV/atom. The total magnetic moment comes out at 0.00 μB per formula unit. Its symmetry is Pm-3m. Its crystal system is cubic. The value obtained for the density of states at the Fermi level is 0.99 states/eV per atom.

=====

LiSi2OsBr | meta-GGA SCAN | PBEsol geometry

Structure (extended XYZ):
```
5
Lattice="4.556 0.000 0.000 0.000 5.007 0.000 0.000 0.000 5.007" Properties=species:S:1:pos:R:3 pbc="T T T"
Os 2.278 0.000 0.000
Si 0.000 2.503 0.000
Li 2.278 2.503 2.503
Br 0.000 0.000 0.000
Si 0.000 0.000 2.503
```

## Properties
Its total energy is -104.39 eV for the cell shown. The formation energy from raw total energies is 1.8740 eV/atom. The total magnetic moment comes out at 0.78 μB per formula unit. Its symmetry is P4/mmm. Its crystal system is tetragonal. The value obtained for the density of states at the Fermi level is 0.63 states/eV per atom.